Compound: NaAcPm2
Source: the Alexandria database
Functional: GGA-PBE
Structure: relaxed

Offset from the most stable computed form ... 0 meV per atom
Total magnetization ... 0.0 μB/cell

CIF file:
```
data_NaAcPm2
_cell_length_a 3.7488
_cell_length_b 3.7488
_cell_length_c 10.6544
_cell_angle_alpha 90.00
_cell_angle_beta 90.00
_cell_angle_gamma 90.00
_symmetry_space_group_name_H-M 'P 4/m m m'
_symmetry_Int_Tables_number 123
_symmetry_space_group_name_Hall '-P 4 2'
loop_
_atom_site_label
_atom_site_fract_x
_atom_site_fract_y
_atom_site_fract_z
_atom_site_occupancy
Na1 0.0000 0.0000 0.0000 1
Ac1 0.0000 0.0000 0.5000 1
Pm1 0.5000 0.5000 0.2567 1
```

---

Compound: NaAc2Pm
Source: the Alexandria database
Functional: GGA-PBE
Structure: relaxed

Offset from the most stable computed form ... 0 meV per atom
Total magnetization ... 0.0 μB/cell

CIF file:
```
data_NaAc2Pm
_cell_length_a 3.8882
_cell_length_b 3.8882
_cell_length_c 38.0073
_cell_angle_alpha 90.00
_cell_angle_beta 90.00
_cell_angle_gamma 120.00
_symmetry_space_group_name_H-M 'R 3 m'
_symmetry_Int_Tables_number 160
_symmetry_space_group_name_Hall 'R 3 -2"'
loop_
_atom_site_label
_atom_site_fract_x
_atom_site_fract_y
_atom_site_fract_z
_atom_site_occupancy
Na1 0.0000 0.0000 0.0000 1
Ac1 0.0000 0.0000 0.4205 1
Ac2 0.0000 0.0000 0.5792 1
Pm1 0.0000 0.0000 0.8331 1
```

---

Compound: NaAcPm2
Source: the Alexandria database
Functional: GGA-PBE
Structure: relaxed

Offset from the most stable computed form ... 44 meV per atom
Total magnetization ... 0.0 μB/cell

CIF file:
```
data_NaAcPm2
_cell_length_a 3.6976
_cell_length_b 3.6976
_cell_length_c 39.5941
_cell_angle_alpha 90.00
_cell_angle_beta 90.00
_cell_angle_gamma 120.00
_symmetry_space_group_name_H-M 'R -3 m'
_symmetry_Int_Tables_number 166
_symmetry_space_group_name_Hall '-R 3 2"'
loop_
_atom_site_label
_atom_site_fract_x
_atom_site_fract_y
_atom_site_fract_z
_atom_site_occupancy
Na1 0.0000 0.0000 0.0000 1
Ac1 0.0000 0.0000 0.5000 1
Pm1 0.0000 0.0000 0.0906 1
```

---

Compound: NaAc2Pm
Source: the Alexandria database
Functional: GGA-PBE
Structure: relaxed

Offset from the most stable computed form ... 125 meV per atom
Total magnetization ... 0.0 μB/cell

CIF file:
```
data_NaAc2Pm
_cell_length_a 8.6097
_cell_length_b 8.6097
_cell_length_c 8.6097
_cell_angle_alpha 90.00
_cell_angle_beta 90.00
_cell_angle_gamma 90.00
_symmetry_space_group_name_H-M 'F m -3 m'
_symmetry_Int_Tables_number 225
_symmetry_space_group_name_Hall '-F 4 2 3'
loop_
_atom_site_label
_atom_site_fract_x
_atom_site_fract_y
_atom_site_fract_z
_atom_site_occupancy
Na1 0.0000 0.0000 0.0000 1
Ac1 0.2500 0.2500 0.2500 1
Pm1 0.0000 0.0000 0.5000 1
```

---

We obtain E values of -14.3 -42.0 -42.5 -53.9 eV for the cell shown for the records listed above, in that order.